! Ba3Fe2WO9 | Alexandria via LeMat-Bulk | GGA+U | optimized geometry; values from VASP
! E above lowest polymorph ... 0.004 eV/atom
&SYSTEM
  ibrav = 0, nat = 30, ntyp = 4
/
ATOMIC_SPECIES
Ba 137.33 Ba.upf
O 16.00 O.upf
Fe 55.84 Fe.upf
W 183.84 W.upf
CELL_PARAMETERS angstrom
-2.4122 5.2072 1.1778
-3.1342 -4.1307 -2.7266
-4.5142 -4.9669 12.7138
ATOMIC_POSITIONS crystal
Ba 0.3333 0.6667 0.9137
O 0.5158 0.4842 0.7550
Fe 0.0000 0.0000 0.5062
O 0.8285 0.1715 0.9148
O 0.6569 0.8285 0.4148
Ba 0.0000 0.0000 0.7448
Ba 0.0000 0.0000 0.2448
O 0.5158 0.0317 0.7550
Ba 0.6667 0.3333 0.4137
O 0.9683 0.4842 0.7550
O 0.4842 0.5158 0.2550
O 0.1648 0.8352 0.0798
O 0.8352 0.6703 0.5798
Ba 0.6667 0.3333 0.0995
O 0.6703 0.8352 0.0798
O 0.3431 0.1715 0.9148
O 0.8352 0.1648 0.5798
O 0.8285 0.6569 0.9148
Fe 0.3333 0.6667 0.1449
O 0.1648 0.3297 0.0798
Fe 0.6667 0.3333 0.6449
Ba 0.3333 0.6667 0.5995
W 0.3333 0.6667 0.3421
O 0.1715 0.8285 0.4148
Fe 0.0000 0.0000 0.0062
O 0.0317 0.5158 0.2550
W 0.6667 0.3333 0.8421
O 0.3297 0.1648 0.5798
O 0.1715 0.3431 0.4148
O 0.4842 0.9683 0.2550

***

! BaFeW2O8 | Alexandria via LeMat-Bulk | GGA+U | optimized geometry; values from VASP
! Energy ... -7.124 eV per atom
! DOS(E_F) ... 0.00 states/eV/cell
&SYSTEM
  ibrav = 0, nat = 12, ntyp = 4
/
ATOMIC_SPECIES
Ba 137.33 Ba.upf
W 183.84 W.upf
O 16.00 O.upf
Fe 55.84 Fe.upf
CELL_PARAMETERS angstrom
5.2685 0.0000 0.0000
2.6342 4.5627 0.0000
2.6342 1.5209 8.1045
ATOMIC_POSITIONS crystal
Ba 0.0000 0.0000 0.0000
W 0.7570 0.7570 0.7291
O 0.7603 0.4532 0.6694
O 0.1170 0.7603 0.6694
O 0.4532 0.1170 0.6694
Fe 0.5000 0.5000 0.5000
O 0.6821 0.6821 0.9538
O 0.5468 0.2397 0.3306
O 0.8830 0.5468 0.3306
O 0.3179 0.3179 0.0462
O 0.2397 0.8830 0.3306
W 0.2430 0.2430 0.2709

***

! BaYFe4O7 | Alexandria via LeMat-Bulk | GGA+U | optimized geometry; values from VASP
! E above lowest polymorph ... 0.000 eV/atom
! DOS(E_F) ... 0.00 states/eV/cell
&SYSTEM
  ibrav = 0, nat = 26, ntyp = 4
/
ATOMIC_SPECIES
Fe 55.84 Fe.upf
O 16.00 O.upf
Y 88.91 Y.upf
Ba 137.33 Ba.upf
CELL_PARAMETERS angstrom
-4.6835 -3.1014 3.3065
4.8032 -3.3966 -2.8071
5.7137 0.7838 8.8283
ATOMIC_POSITIONS crystal
Fe 0.1719 0.8281 0.6966
O 0.6743 0.8371 0.4998
O 0.0000 0.0000 0.7666
Fe 0.0000 0.0000 0.4499
Y 0.3333 0.6667 0.3791
Ba 0.6667 0.3333 0.5352
O 0.0264 0.5132 0.2379
Ba 0.3333 0.6667 0.0352
O 0.5132 0.4868 0.7379
O 0.9736 0.4868 0.7379
Fe 0.8281 0.6563 0.1966
O 0.4868 0.9736 0.2379
Fe 0.0000 0.0000 0.9499
Fe 0.1719 0.3437 0.6966
O 0.8371 0.1629 0.9998
O 0.1629 0.8371 0.4998
O 0.8371 0.6743 0.9998
Fe 0.6563 0.8281 0.6966
O 0.1629 0.3257 0.4998
Fe 0.8281 0.1719 0.1966
Y 0.6667 0.3333 0.8791
O 0.4868 0.5132 0.2379
O 0.0000 0.0000 0.2666
O 0.5132 0.0264 0.7379
O 0.3257 0.1629 0.9998
Fe 0.3437 0.1719 0.1966

***

! Ba3YFe2O9 | Alexandria via LeMat-Bulk | GGA+U | optimized geometry; values from VASP
! Energy ... -6.687 eV per atom
! DOS(E_F) ... 10.98 states/eV/cell
&SYSTEM
  ibrav = 0, nat = 15, ntyp = 4
/
ATOMIC_SPECIES
O 16.00 O.upf
Ba 137.33 Ba.upf
Y 88.91 Y.upf
Fe 55.84 Fe.upf
CELL_PARAMETERS angstrom
-1.8527 4.9465 -2.5323
-3.8573 -3.6405 2.4860
0.7444 3.4758 6.2449
ATOMIC_POSITIONS crystal
O 0.5000 0.5000 0.0000
O 0.5000 0.0000 0.0000
O 0.1767 0.3534 0.3162
O 0.8233 0.6466 0.6838
Ba 0.0000 0.0000 0.0000
Ba 0.6667 0.3333 0.3219
Ba 0.3333 0.6667 0.6781
O 0.1767 0.8233 0.3162
O 0.0000 0.5000 0.0000
Y 0.0000 0.0000 0.5000
Fe 0.6667 0.3333 0.8364
O 0.6466 0.8233 0.3162
O 0.3534 0.1767 0.6838
O 0.8233 0.1767 0.6838
Fe 0.3333 0.6667 0.1636

***

! BaYFe4O7 | Alexandria via LeMat-Bulk | GGA+U | optimized geometry; values from VASP
! E above lowest polymorph ... 0.038 eV/atom
! DOS(E_F) ... 5.51 states/eV/cell
&SYSTEM
  ibrav = 0, nat = 13, ntyp = 4
/
ATOMIC_SPECIES
Ba 137.33 Ba.upf
Fe 55.84 Fe.upf
O 16.00 O.upf
Y 88.91 Y.upf
CELL_PARAMETERS angstrom
6.4783 -0.0033 0.0000
0.2797 6.4723 0.0000
-3.3790 -3.2345 4.4820
ATOMIC_POSITIONS crystal
Ba 0.2500 0.7500 0.5000
Fe 0.1390 0.3487 0.7273
O 0.2788 0.1725 0.4986
Fe 0.5883 0.8610 0.2096
O 0.7500 0.2500 0.5000
Fe 0.6214 0.4117 0.2727
O 0.6739 0.7802 0.5014
O 0.7541 0.7541 0.0000
Fe 0.6513 0.3786 0.7904
O 0.2459 0.2459 0.0000
O 0.8275 0.3261 0.1064
Y 0.0000 0.0000 0.0000
O 0.2198 0.7212 0.8936

***

! BaYbFe4O7 | Alexandria via LeMat-Bulk | GGA+U | optimized geometry; values from VASP
! Energy ... -6.548 eV per atom
! DOS(E_F) ... 22.32 states/eV/cell
&SYSTEM
  ibrav = 0, nat = 13, ntyp = 4
/
ATOMIC_SPECIES
Fe 55.84 Fe.upf
Ba 137.33 Ba.upf
O 16.00 O.upf
Yb 173.04 Yb.upf
CELL_PARAMETERS angstrom
-4.1466 -4.7373 -1.6178
4.9189 -4.0024 -1.4493
-0.3360 2.8651 5.7569
ATOMIC_POSITIONS crystal
Fe 0.6506 0.3876 0.7914
Ba 0.2413 0.7688 0.5048
O 0.7475 0.2658 0.5103
O 0.2508 0.2215 0.9687
Yb 0.0005 0.9946 0.9969
O 0.7960 0.7523 0.0520
O 0.2927 0.2038 0.5050
O 0.7922 0.3035 0.0776
Fe 0.6090 0.3937 0.2583
Fe 0.5935 0.8660 0.2218
Fe 0.1405 0.3650 0.7247
O 0.2272 0.7297 0.8979
O 0.6583 0.7477 0.4906

***

! BaZnFe6O11 | Alexandria via LeMat-Bulk | GGA+U | optimized geometry; values from VASP
! Energy ... -6.322 eV per atom
&SYSTEM
  ibrav = 0, nat = 38, ntyp = 4
/
ATOMIC_SPECIES
O 16.00 O.upf
Fe 55.84 Fe.upf
Ba 137.33 Ba.upf
Zn 65.41 Zn.upf
CELL_PARAMETERS angstrom
-0.1273 4.4100 -3.9568
-5.1908 2.2949 -1.7058
-0.9651 11.9059 9.0160
ATOMIC_POSITIONS crystal
O 0.4263 0.4263 0.7419
O 0.3276 0.7713 0.5877
O 0.7983 0.7983 0.5958
O 0.7125 0.1837 0.9092
O 0.2826 0.8115 0.0864
Fe 0.3870 0.8937 0.3333
Fe 0.6122 0.6122 0.6682
Ba 0.2962 0.2962 0.1057
O 0.8115 0.2826 0.0864
O 0.1837 0.7125 0.9092
Fe 0.6139 0.1063 0.6681
O 0.1821 0.1821 0.9103
O 0.3252 0.3252 0.5857
O 0.4302 0.9128 0.7423
O 0.6798 0.2299 0.4166
Fe 0.3748 0.3748 0.8725
O 0.1989 0.1989 0.4073
O 0.5745 0.0843 0.2561
O 0.0842 0.0842 0.2560
O 0.6785 0.6785 0.4154
Fe 0.3873 0.3873 0.3335
Fe 0.9329 0.9329 0.1984
O 0.9128 0.4302 0.7423
Zn 0.1543 0.1543 0.5447
Fe 0.5023 0.5023 0.5015
Zn 0.8473 0.8473 0.4592
O 0.0843 0.5745 0.2561
Ba 0.7010 0.7010 0.8922
O 0.9160 0.9160 0.7438
O 0.7713 0.3276 0.5877
O 0.8122 0.8122 0.0852
O 0.2299 0.6798 0.4166
Fe 0.9981 0.9981 0.9982
Fe 0.1063 0.6139 0.6681
Fe 0.6222 0.6222 0.1281
O 0.5803 0.5803 0.2572
Fe 0.8937 0.3870 0.3333
Fe 0.0676 0.0676 0.7996

***

! BaZnFe4O8 | Alexandria via LeMat-Bulk | GGA+U | optimized geometry; values from VASP
! Energy ... -6.244 eV per atom
&SYSTEM
  ibrav = 0, nat = 14, ntyp = 4
/
ATOMIC_SPECIES
O 16.00 O.upf
Fe 55.84 Fe.upf
Ba 137.33 Ba.upf
Zn 65.41 Zn.upf
CELL_PARAMETERS angstrom
2.7188 -4.7091 0.0000
2.7188 4.7091 0.0000
0.0000 0.0000 7.3456
ATOMIC_POSITIONS crystal
O 0.0000 0.6827 0.6779
Fe 0.3333 0.6667 0.7428
O 0.6827 0.0000 0.6779
Ba 0.0000 0.0000 0.0000
O 0.3333 0.6667 0.0000
Fe 0.3333 0.6667 0.2572
Zn 0.0000 0.0000 0.5000
O 0.3173 0.3173 0.6779
O 0.3173 0.0000 0.3221
O 0.6827 0.6827 0.3221
O 0.0000 0.3173 0.3221
Fe 0.6667 0.3333 0.7428
Fe 0.6667 0.3333 0.2572
O 0.6667 0.3333 0.0000

***

! Ba3ZnFe2O9 | Alexandria via LeMat-Bulk | GGA+U | optimized geometry; values from VASP
! Energy ... -5.914 eV per atom
! DOS(E_F) ... 10.55 states/eV/cell
&SYSTEM
  ibrav = 0, nat = 15, ntyp = 4
/
ATOMIC_SPECIES
Ba 137.33 Ba.upf
Fe 55.84 Fe.upf
O 16.00 O.upf
Zn 65.41 Zn.upf
CELL_PARAMETERS angstrom
-2.7278 -4.9256 1.0673
4.8917 1.2155 2.7267
-3.6403 3.1289 5.1361
ATOMIC_POSITIONS crystal
Ba 0.3333 0.6667 0.6650
Fe 0.6667 0.3333 0.8336
O 0.8278 0.1722 0.6751
Ba 0.0000 0.0000 0.0000
O 0.0000 0.5000 0.0000
Fe 0.3333 0.6667 0.1664
O 0.8278 0.6555 0.6751
O 0.1722 0.8278 0.3249
O 0.6555 0.8278 0.3249
Ba 0.6667 0.3333 0.3350
O 0.1722 0.3445 0.3249
O 0.3445 0.1722 0.6751
Zn 0.0000 0.0000 0.5000
O 0.5000 0.0000 0.0000
O 0.5000 0.5000 0.0000

***

! Ba3ZnFe2O8 | Alexandria via LeMat-Bulk | GGA+U | optimized geometry; values from VASP
! Energy ... -5.985 eV per atom
! DOS(E_F) ... 5.45 states/eV/cell
&SYSTEM
  ibrav = 0, nat = 14, ntyp = 4
/
ATOMIC_SPECIES
Ba 137.33 Ba.upf
O 16.00 O.upf
Fe 55.84 Fe.upf
Zn 65.41 Zn.upf
CELL_PARAMETERS angstrom
-5.5098 -1.7401 0.4393
3.5390 -0.4034 4.5708
-2.0189 6.9418 2.1757
ATOMIC_POSITIONS crystal
Ba 0.0000 0.0000 0.0000
O 0.1651 0.8349 0.3251
O 0.3333 0.6667 0.9860
O 0.6698 0.8349 0.3251
O 0.8349 0.1651 0.6749
Ba 0.3333 0.6667 0.6507
O 0.8349 0.6698 0.6749
Ba 0.6667 0.3333 0.3493
Fe 0.3333 0.6667 0.2222
O 0.6667 0.3333 0.0140
O 0.1651 0.3302 0.3251
O 0.3302 0.1651 0.6749
Fe 0.6667 0.3333 0.7778
Zn 0.0000 0.0000 0.5000

***

! Ba2ZnFeO4 | Alexandria via LeMat-Bulk | GGA+U | optimized geometry; values from VASP
! Energy ... -5.724 eV per atom
! DOS(E_F) ... 0.00 states/eV/cell
&SYSTEM
  ibrav = 0, nat = 8, ntyp = 4
/
ATOMIC_SPECIES
Ba 137.33 Ba.upf
O 16.00 O.upf
Zn 65.41 Zn.upf
Fe 55.84 Fe.upf
CELL_PARAMETERS angstrom
5.5894 0.0573 0.0878
-2.3297 5.0810 -0.0878
-2.3298 -2.1252 4.6161
ATOMIC_POSITIONS crystal
Ba 0.5000 0.7500 0.2500
O 0.4259 0.8722 0.7783
O 0.5741 0.3524 0.4463
Zn 0.5000 0.2500 0.7500
O 0.9061 0.5537 0.1278
O 0.0939 0.2217 0.6476
Fe 0.0000 0.5000 0.5000
Ba 0.0000 0.0000 0.0000

***

! Ba3Zr2FeO9 | Alexandria via LeMat-Bulk | GGA+U | optimized geometry; values from VASP
! Energy ... -7.511 eV per atom
! DOS(E_F) ... 4.57 states/eV/cell
&SYSTEM
  ibrav = 0, nat = 15, ntyp = 4
/
ATOMIC_SPECIES
Zr 91.22 Zr.upf
O 16.00 O.upf
Fe 55.84 Fe.upf
Ba 137.33 Ba.upf
CELL_PARAMETERS angstrom
-0.0508 4.9672 3.0874
-2.1211 -4.9213 2.3429
6.5088 -1.5597 2.6164
ATOMIC_POSITIONS crystal
Zr 0.3333 0.6667 0.1763
O 0.5000 0.0000 0.0000
Fe 0.0000 0.0000 0.5000
O 0.8407 0.6814 0.6567
O 0.1593 0.3186 0.3433
O 0.1593 0.8407 0.3433
O 0.5000 0.5000 0.0000
O 0.3186 0.1593 0.6567
Ba 0.0000 0.0000 0.0000
O 0.8407 0.1593 0.6567
Zr 0.6667 0.3333 0.8237
O 0.0000 0.5000 0.0000
O 0.6814 0.8407 0.3433
Ba 0.6667 0.3333 0.3375
Ba 0.3333 0.6667 0.6625

***

! Ba3ZrFe2O9 | Alexandria via LeMat-Bulk | GGA+U | optimized geometry; values from VASP
! Energy ... -6.968 eV per atom
! DOS(E_F) ... 8.22 states/eV/cell
&SYSTEM
  ibrav = 0, nat = 15, ntyp = 4
/
ATOMIC_SPECIES
O 16.00 O.upf
Fe 55.84 Fe.upf
Ba 137.33 Ba.upf
Zr 91.22 Zr.upf
CELL_PARAMETERS angstrom
-1.8074 -3.5040 4.2585
4.6935 3.3246 0.7732
-4.1153 5.2176 2.5466
ATOMIC_POSITIONS crystal
O 0.5000 0.0000 0.0000
Fe 0.6667 0.3333 0.8351
O 0.6579 0.8289 0.3271
O 0.8289 0.6579 0.6729
Ba 0.6667 0.3333 0.3252
Fe 0.3333 0.6667 0.1649
O 0.8289 0.1711 0.6729
O 0.1711 0.8289 0.3271
O 0.1711 0.3421 0.3271
O 0.0000 0.5000 0.0000
O 0.5000 0.5000 0.0000
O 0.3421 0.1711 0.6729
Zr 0.0000 0.0000 0.5000
Ba 0.0000 0.0000 0.0000
Ba 0.3333 0.6667 0.6748

***

! Ba3ZrFe2O8 | Alexandria via LeMat-Bulk | GGA+U | optimized geometry; values from VASP
! Energy ... -7.089 eV per atom
! DOS(E_F) ... 0.00 states/eV/cell
&SYSTEM
  ibrav = 0, nat = 14, ntyp = 4
/
ATOMIC_SPECIES
Ba 137.33 Ba.upf
Fe 55.84 Fe.upf
O 16.00 O.upf
Zr 91.22 Zr.upf
CELL_PARAMETERS angstrom
-2.6339 0.6059 5.3116
-3.2780 -1.1872 -4.8335
0.8321 -7.4261 1.2597
ATOMIC_POSITIONS crystal
Ba 0.6667 0.3333 0.3408
Fe 0.6667 0.3333 0.7787
Ba 0.0000 0.0000 0.0000
O 0.6667 0.3333 0.0168
O 0.8356 0.6713 0.6686
O 0.3287 0.1644 0.6686
Fe 0.3333 0.6667 0.2213
O 0.1644 0.8356 0.3314
O 0.1644 0.3287 0.3314
Zr 0.0000 0.0000 0.5000
O 0.6713 0.8356 0.3314
O 0.3333 0.6667 0.9832
O 0.8356 0.1644 0.6686
Ba 0.3333 0.6667 0.6592